[1]
Entry from Alexandria via LeMat-Bulk: a relaxed structure of PaZnAu (PBE).

Cell: 3.257 3.257 6.078 Å, 105.54 105.54 90.00°
Each line ends with the local moment (μB).
Positions (direct):
Pa (0.999, 0.999, 0.998)  0.28
Zn (0.316, 0.316, 0.632)  0.00
Au (0.685, 0.685, 0.370)  0.00

Results
DFT total energy	-14.69	eV per cell
total moment	0.33	μB/f.u.
energy of formation	-0.215	eV per atom

=====

[2]
Entry from Alexandria via LeMat-Bulk: a relaxed structure of BaAlRu2 (PBE).

Cell: 4.720 4.720 3.415 Å, 90.00 90.00 90.00°
Each line ends with the local moment (μB).
Positions (direct):
Ba (0.000, 0.500, 0.500)  0.03
Ru (0.500, 0.500, 0.000)  0.60
Ru (0.000, 0.000, 0.000)  0.60
Al (0.500, 0.000, 0.500)  0.00

Results
DFT total energy	-21.50	eV per cell
total moment	1.27	μB/f.u.
energy of formation	0.679	eV per atom

=====

[3]
Entry from Alexandria via LeMat-Bulk: a relaxed structure of La2HoCdTe5 (PBE).

Cell: 4.420 9.905 13.555 Å, 90.00 90.00 102.89°
Positions (direct):
Te (0.287, 0.574, 0.668)
Te (0.693, 0.386, 0.848)
Te (0.713, 0.426, 0.168)
Te (0.359, 0.717, 0.000)
Te (0.497, 0.993, 0.772)
Te (0.047, 0.094, 0.077)
Te (0.503, 0.007, 0.272)
Te (0.307, 0.614, 0.348)
Te (0.953, 0.906, 0.577)
Te (0.641, 0.283, 0.500)
La (0.131, 0.262, 0.308)
La (0.884, 0.768, 0.183)
La (0.869, 0.738, 0.808)
La (0.116, 0.232, 0.683)
Cd (0.559, 0.118, 0.955)
Cd (0.441, 0.882, 0.455)
Ho (0.799, 0.599, 0.512)
Ho (0.201, 0.401, 0.012)

Results
DFT total energy	-84.62	eV per cell
E_form (uncorrected)	-1.2507	eV per atom
total moment	0.00	μB/f.u.

=====

[4]
Entry from Alexandria via LeMat-Bulk: a relaxed structure of Y6Fe2Hg (PBE).

Cell: 8.420 8.420 8.420 Å, 106.97 109.87 111.61°
Each line ends with the local moment (μB).
Positions (direct):
Y (0.788, 0.226, 0.015)  -0.09
Y (0.522, 0.709, 0.812)  -0.13
Y (0.897, 0.709, 0.188)  -0.13
Y (0.704, 0.390, 0.686)  -0.13
Y (0.788, 0.774, 0.562)  -0.09
Y (0.704, 0.018, 0.314)  -0.13
Y (0.478, 0.291, 0.188)  -0.13
Y (0.212, 0.226, 0.438)  -0.09
Y (0.296, 0.610, 0.314)  -0.13
Y (0.212, 0.774, 0.985)  -0.09
Y (0.296, 0.982, 0.686)  -0.13
Y (0.103, 0.291, 0.812)  -0.13
Fe (0.387, 0.000, 0.387)  1.45
Fe (0.613, 0.000, 0.613)  1.45
Fe (0.500, 0.608, 0.108)  1.07
Fe (0.500, 0.392, 0.892)  1.07
Hg (0.000, 0.500, 0.500)  0.01
Hg (0.000, 0.000, 0.000)  -0.01

Results
DFT total energy	-114.64	eV per cell
total moment	1.33	μB/f.u.
energy of formation	-0.145	eV per atom

=====

[5]
Entry from Alexandria via LeMat-Bulk: a relaxed structure of BaGaSn2 (PBE).

Cell: 5.498 5.498 10.293 Å, 74.51 74.51 90.00°
Positions (direct):
Sn (0.375, 0.508, 0.750)
Sn (0.258, 0.625, 0.250)
Sn (0.875, 0.742, 0.750)
Sn (0.492, 0.125, 0.250)
Ba (0.000, 0.000, 0.000)
Ba (0.750, 0.250, 0.500)
Ga (0.250, 0.750, 0.500)
Ga (0.500, 0.500, 0.000)

Results
DFT total energy	-27.87	eV per cell
total moment	0.00	μB/f.u.
energy of formation	-0.245	eV per atom

=====

[6]
Entry from Alexandria via LeMat-Bulk: a relaxed structure of Er8Ru5Rh (PBE).

Cell: 7.323 7.323 7.323 Å, 109.30 109.81 109.30°
Positions (direct):
Er (0.157, 0.764, 0.024)
Er (0.662, 0.401, 0.900)
Er (0.260, 0.236, 0.392)
Er (0.499, 0.599, 0.260)
Er (0.740, 0.238, 0.338)
Er (0.100, 0.762, 0.501)
Er (0.608, 0.868, 0.843)
Er (0.976, 0.132, 0.740)
Ru (0.500, 0.000, 0.500)
Ru (0.045, 0.401, 0.163)
Ru (0.837, 0.882, 0.238)
Ru (0.762, 0.599, 0.644)
Ru (0.356, 0.118, 0.955)
Rh (0.250, 0.500, 0.750)

Results
DFT total energy	-94.63	eV per cell
total moment	0.00	μB/f.u.
energy of formation	-0.314	eV per atom

=====

[7]
Entry from Alexandria via LeMat-Bulk: a relaxed structure of BaRe2Rh2 (PBE).

Cell: 8.075 8.075 2.793 Å, 90.00 90.00 90.00°
Positions (direct):
Re (0.833, 0.333, 0.500)
Re (0.667, 0.833, 0.500)
Re (0.333, 0.167, 0.500)
Re (0.167, 0.667, 0.500)
Ba (0.500, 0.500, 0.000)
Ba (0.000, 0.000, 0.000)
Rh (0.881, 0.619, 0.000)
Rh (0.119, 0.381, 0.000)
Rh (0.619, 0.119, 0.000)
Rh (0.381, 0.881, 0.000)

Results
offset from the most stable computed form	141	meV/atom
DFT total energy	-77.44	eV per cell
total moment	0.00	μB/f.u.
energy of formation	0.560	eV per atom

=====

[8]
Entry from Alexandria via LeMat-Bulk: a relaxed structure of CsNaMgSb (PBE).

Cell: 4.854 4.854 15.226 Å, 90.00 90.00 90.00°
Positions (direct):
Mg (0.750, 0.250, 0.000)
Mg (0.250, 0.750, 0.000)
Cs (0.750, 0.750, 0.224)
Cs (0.250, 0.250, 0.776)
Sb (0.750, 0.750, 0.891)
Sb (0.250, 0.250, 0.109)
Na (0.250, 0.750, 0.500)
Na (0.750, 0.250, 0.500)

Results
DFT total energy	-18.64	eV per cell
E_form (uncorrected)	-0.3574	eV per atom
total moment	0.00	μB/f.u.

=====

Copy entry 7 word for word.
Entry from Alexandria via LeMat-Bulk: a relaxed structure of BaRe2Rh2 (PBE).

Cell: 8.075 8.075 2.793 Å, 90.00 90.00 90.00°
Positions (direct):
Re (0.833, 0.333, 0.500)
Re (0.667, 0.833, 0.500)
Re (0.333, 0.167, 0.500)
Re (0.167, 0.667, 0.500)
Ba (0.500, 0.500, 0.000)
Ba (0.000, 0.000, 0.000)
Rh (0.881, 0.619, 0.000)
Rh (0.119, 0.381, 0.000)
Rh (0.619, 0.119, 0.000)
Rh (0.381, 0.881, 0.000)

Results
offset from the most stable computed form	141	meV/atom
DFT total energy	-77.44	eV per cell
total moment	0.00	μB/f.u.
energy of formation	0.560	eV per atom